Density functional theory data (PBE) for an optimized crystal structure of BaSnPd4.

Results
- ΔH_f (0 K) (eV per atom) = -0.3799
- size of the total moment (μB per formula unit) = 0.000
- calculated density (g cm⁻³) = 9.230

Cell lengths 5.5768, 5.5768, 5.5768 Å; angles 60.00, 60.00, 60.00 degrees
With the nearest neighbours (Å) after each atom.
Fractional positions:
Ba: 0.0000 0.0000 0.0000  12 Pd 3.27, 4 Sn 3.42
Sn: 0.2500 0.2500 0.2500  12 Pd 3.27, 4 Ba 3.42
Pd: 0.1285 0.6238 0.6238  6 Pd 2.76-2.81
Pd: 0.6238 0.1285 0.6238  6 Pd 2.76-2.81
Pd: 0.6238 0.6238 0.1285  6 Pd 2.76-2.81
Pd: 0.6238 0.6238 0.6238  6 Pd 2.76-2.81

=====

Density functional theory data (PBE) for an optimized crystal structure of Ba2Sn3Pd.

Results
- ΔH_f (0 K) (eV per atom) = -0.6626
- size of the total moment (μB per formula unit) = 0.000
- calculated density (g cm⁻³) = 6.060

Cell lengths 9.7358, 9.6070, 6.9731 Å; angles 69.86, 67.89, 42.26 degrees
With the nearest neighbours (Å) after each atom.
Fractional positions:
Ba: 0.2500 0.2500 0.2500  8 Sn 3.71, 4 Pd 3.75
Ba: 0.2505 0.7495 0.2505  10 Sn 3.71-3.84, 2 Pd 3.76
Ba: 0.7495 0.2505 0.7495  10 Sn 3.71-3.84, 2 Pd 3.76
Ba: 0.7500 0.7500 0.7500  8 Sn 3.71, 4 Pd 3.75
Sn: 0.1729 0.1729 0.8271  1 Pd 2.66, 2 Sn 2.88
Sn: 0.1733 0.6535 0.8267  1 Pd 2.67, 2 Sn 2.88
Sn: 0.3465 0.8267 0.6535  1 Pd 2.67, 2 Sn 2.88
Sn: 0.6535 0.1733 0.3465  1 Pd 2.67, 2 Sn 2.88
Sn: 0.8267 0.3465 0.1733  1 Pd 2.67, 2 Sn 2.88
Sn: 0.8271 0.8271 0.1729  1 Pd 2.66, 2 Sn 2.88
Pd: 0.3328 0.3328 0.6672  3 Sn 2.66-2.67
Pd: 0.6672 0.6672 0.3328  3 Sn 2.66-2.67

=====

Density functional theory data (PBE) for an optimized crystal structure of Ba2Sn7Pd.

Results
- ΔH_f (0 K) (eV per atom) = -0.3604
- size of the total moment (μB per formula unit) = 0.000
- calculated density (g cm⁻³) = 6.379

Cell lengths 5.0023, 5.0023, 12.6086 Å; angles 90.00, 90.00, 90.00 degrees
With the nearest neighbours (Å) after each atom.
Fractional positions:
Ba: 0.0000 0.5000 0.2322  14 Sn 3.83-4.20, 2 Pd 3.85
Ba: 0.5000 0.0000 0.7678  14 Sn 3.83-4.20, 2 Pd 3.85
Sn: 0.0000 0.0000 0.0000  4 Sn 2.90
Sn: 0.0000 0.0000 0.5000  4 Sn 3.09
Sn: 0.0000 0.5000 0.6437  5 Sn 3.03-3.09
Sn: 0.0000 0.5000 0.8839  3 Sn 2.90-3.03, 2 Pd 2.90
Sn: 0.5000 0.0000 0.1161  3 Sn 2.90-3.03, 2 Pd 2.90
Sn: 0.5000 0.0000 0.3563  5 Sn 3.03-3.09
Sn: 0.5000 0.5000 0.5000  4 Sn 3.09
Pd: 0.5000 0.5000 0.0000  4 Sn 2.90

=====

Density functional theory data (PBE) for an optimized crystal structure of Ba2SnPd.

Results
- ΔH_f (0 K) (eV per atom) = -0.5985
- size of the total moment (μB per formula unit) = 0.000
- calculated density (g cm⁻³) = 4.750

Cell lengths 9.2252, 9.2252, 9.2252 Å; angles 30.08, 30.08, 30.08 degrees
With the nearest neighbours (Å) after each atom.
Fractional positions:
Ba: 0.0000 0.0000 0.0000  3 Sn 3.49, 3 Pd 3.50
Ba: 0.1620 0.1620 0.1620  3 Pd 3.49, 3 Sn 3.50
Sn: 0.4142 0.4142 0.4142  3 Pd 2.76
Pd: 0.7479 0.7479 0.7479  3 Sn 2.76